# 1
Compound: K2Li3CoO4
Source: Alexandria
Functional: PBE with a Hubbard U
Structure: relaxed

Cell lengths 8.871, 5.585, 11.058 Å; angles 68.63, 90.00, 90.00 degrees
Fractional coordinates of all 40 atoms:
O 0.610 0.227 0.612
O 0.049 0.743 0.376
O 0.549 0.257 0.124
O 0.670 0.750 0.145
O 0.890 0.227 0.112
O 0.170 0.250 0.355
O 0.951 0.257 0.624
O 0.451 0.743 0.876
O 0.390 0.773 0.388
O 0.194 0.764 0.619
O 0.830 0.750 0.645
O 0.306 0.764 0.119
O 0.694 0.236 0.881
O 0.110 0.773 0.888
O 0.330 0.250 0.855
O 0.806 0.236 0.381
Li 0.267 0.623 0.800
Li 0.466 0.903 0.202
Li 0.966 0.097 0.298
Li 0.034 0.903 0.702
Li 0.001 0.368 0.433
Li 0.499 0.368 0.933
Li 0.501 0.632 0.067
Li 0.733 0.377 0.200
Li 0.233 0.623 0.300
Li 0.999 0.632 0.567
Li 0.767 0.377 0.700
Li 0.534 0.097 0.798
Co 0.786 0.095 0.566
Co 0.214 0.905 0.434
Co 0.286 0.905 0.934
Co 0.714 0.095 0.066
K 0.728 0.718 0.393
K 0.991 0.707 0.138
K 0.772 0.718 0.893
K 0.009 0.293 0.862
K 0.228 0.282 0.107
K 0.272 0.282 0.607
K 0.491 0.293 0.362
K 0.509 0.707 0.638

## Properties
**Energy**: -192.7 eV per cell

# 2
Compound: K2LiCoO4
Source: Alexandria
Functional: PBE with a Hubbard U
Structure: relaxed

Cell lengths 4.887, 6.294, 9.815 Å; angles 84.45, 75.58, 67.15 degrees
Fractional coordinates of all 16 atoms:
O 0.527 0.314 0.585
O 0.590 0.186 0.085
O 0.160 0.314 0.415
O 0.223 0.186 0.915
O 0.888 0.686 0.585
O 0.862 0.814 0.915
O 0.425 0.686 0.415
O 0.325 0.814 0.085
K 0.573 0.500 0.854
K 0.177 0.000 0.646
K 0.927 0.500 0.146
K 0.823 0.000 0.354
Co 0.250 0.500 0.500
Co 0.500 0.000 0.000
Li 0.750 0.500 0.500
Li 0.000 0.000 0.000

## Properties
**Energy**: -77.5 eV per cell

no.,M_tot (μB/atom)
1,0.401
2,0.500